Below is a geometry-optimized Pr9TlSn2 structure, with properties calculated at the PBE-GGA level.

a = 5.009 Å, b = 5.009 Å, c = 14.993 Å
α = 90.00°, β = 90.00°, γ = 90.00°
Positions (direct):
Pr1 0.500 0.500 0.000
Pr2 0.500 0.500 0.335
Pr3 0.500 0.500 0.665
Pr4 0.500 0.000 0.170
Pr5 0.500 0.000 0.500
Pr6 0.500 0.000 0.830
Pr7 0.000 0.500 0.170
Pr8 0.000 0.500 0.500
Pr9 0.000 0.500 0.830
Tl1 0.000 0.000 0.000
Sn1 0.000 0.000 0.333
Sn2 0.000 0.000 0.667

Properties
* volume: 31.35 A^3/atom
* calculated density: 7.5 g cm⁻³
* total moment: 0.00 μB per atom
* Fermi-level density of states: 1.280 states/eV/atom
* space group: No. 123
* ΔH_f (0 K): -0.38 eV per atom

---

Below is a geometry-optimized CaTb2Ag3 structure, with properties calculated at the PBE-GGA level.

a = 3.653 Å, b = 3.653 Å, c = 11.132 Å
α = 90.00°, β = 90.00°, γ = 90.00°
Positions (direct):
Ca1 0.500 0.500 0.500
Tb1 0.500 0.500 0.834
Tb2 0.500 0.500 0.166
Ag1 0.000 0.000 0.000
Ag2 0.000 0.000 0.679
Ag3 0.000 0.000 0.321

Properties
* volume: 24.75 A^3/atom
* calculated density: 7.6 g cm⁻³
* total moment: 0.00 μB per atom
* Fermi-level density of states: 0.441 states/eV/atom
* space group: No. 123
* ΔH_f (0 K): -0.32 eV per atom
* distance to the lowest polymorph of the same formula: 0.000 eV/atom

---

Below is a geometry-optimized Ac2ThSn2 structure, with properties calculated at the PBE-GGA level.

a = 4.863 Å, b = 6.701 Å, c = 6.701 Å
α = 64.35°, β = 68.73°, γ = 68.73°
Positions (direct):
Ac1 0.205 0.295 0.295
Ac2 0.795 0.705 0.705
Th1 0.000 0.000 0.000
Sn1 0.500 0.288 0.712
Sn2 0.500 0.712 0.288

Properties
* volume: 35.57 A^3/atom
* calculated density: 8.6 g cm⁻³
* total moment: 0.00 μB per atom
* Fermi-level density of states: 1.089 states/eV/atom
* space group: No. 71
* ΔH_f (0 K): -0.53 eV per atom

---

Below is a geometry-optimized AcNbP3 structure, with properties calculated at the PBE-GGA level.

a = 4.861 Å, b = 4.861 Å, c = 4.861 Å
α = 90.00°, β = 90.00°, γ = 90.00°
Positions (direct):
P1 0.000 0.500 0.000
P2 0.000 0.000 0.500
P3 0.500 0.000 0.000
Ac1 0.500 0.500 0.500
Nb1 0.000 0.000 0.000

Properties
* volume: 22.97 A^3/atom
* calculated density: 6.0 g cm⁻³
* total moment: 0.00 μB per atom
* Fermi-level density of states: 0.654 states/eV/atom
* space group: No. 221
* ΔH_f (0 K): -0.66 eV per atom

---

Below is a geometry-optimized BeRhCl2 structure, with properties calculated at the PBE-GGA level.

a = 3.074 Å, b = 5.580 Å, c = 3.778 Å
α = 90.00°, β = 90.00°, γ = 90.00°
Positions (direct):
Be1 0.000 0.500 0.500
Rh1 0.500 0.000 0.500
Cl1 0.000 0.000 0.000
Cl2 0.500 0.500 0.000

Properties
* volume: 16.20 A^3/atom
* calculated density: 4.7 g cm⁻³
* total moment: 0.00 μB per atom
* raw formation energy: 0.316 eV/atom
* Fermi-level density of states: 0.613 states/eV/atom
* space group: No. 47
* distance to the lowest polymorph of the same formula: 0.700 eV/atom

---

Below is a geometry-optimized Zr2VSbPt structure, with properties calculated at the PBE-GGA level.

a = 4.799 Å, b = 4.857 Å, c = 4.799 Å
α = 90.00°, β = 90.00°, γ = 90.00°
Positions (direct):
Sb1 0.000 0.500 0.000
Zr1 0.000 0.000 0.500
Zr2 0.500 0.000 0.000
Pt1 0.500 0.500 0.500
V1 0.000 0.000 0.000

Properties
* volume: 22.37 A^3/atom
* calculated density: 8.2 g cm⁻³
* total moment: 0.00 μB per atom
* raw formation energy: 0.385 eV/atom
* Fermi-level density of states: 0.617 states/eV/atom
* space group: No. 123

---

Below is a geometry-optimized SrMoPt structure, with properties calculated at the PBE-GGA level.

a = 4.704 Å, b = 4.704 Å, c = 4.704 Å
α = 60.00°, β = 60.00°, γ = 60.00°
Positions (direct):
Sr1 0.750 0.750 0.750
Mo1 0.250 0.250 0.250
Pt1 0.500 0.500 0.500

Properties
* volume: 24.54 A^3/atom
* calculated density: 8.5 g cm⁻³
* total moment: 0.15 μB per atom
* Fermi-level density of states: 1.392 states/eV/atom
* space group: No. 216
* ΔH_f (0 K): 0.69 eV per atom
* distance to the lowest polymorph of the same formula: 0.825 eV/atom

---

Below is a geometry-optimized SbTeAu2 structure, with properties calculated at the PBE-GGA level.

a = 4.681 Å, b = 4.752 Å, c = 4.750 Å
α = 72.63°, β = 90.00°, γ = 90.00°
Positions (direct):
Sb1 0.000 0.426 0.425
Te1 0.500 0.818 0.818
Au1 0.000 0.021 0.021
Au2 0.500 0.236 0.236

Properties
* volume: 25.21 A^3/atom
* calculated density: 10.6 g cm⁻³
* total moment: 0.00 μB per atom
* raw formation energy: -0.013 eV/atom
* Fermi-level density of states: 0.447 states/eV/atom
* space group: No. 38
* distance to the lowest polymorph of the same formula: 0.025 eV/atom